(1)
## BeSb2As (PBE)

Data for an optimized crystal structure of BeSb2As.

**Energy**: -3.92 eV per atom
**N(E_F)**: 0.7 states/eV/f.u.
**Formation energy (no corrections)**: 239 meV/atom
**Excess energy over the best structure of this formula in the dataset**: 82.2 meV/atom

abc: 5.767 5.767 5.970
angles: 120.39 120.39 37.16
Sites, in units of the cell vectors:
Be 0.000 0.000 0.000
Sb 0.527 0.527 0.702
Sb 0.681 0.681 0.281
As 0.369 0.369 0.945



(2)
## ThPa2P (PBE)

Data for an optimized crystal structure of ThPa2P.

**Energy**: -7.90 eV per atom
**N(E_F)**: 9.3 states/eV/f.u.
**Excess energy over the best structure of this formula in the dataset**: 414.3 meV/atom
**Calculated formation energy**: 0.2 eV per formula unit

abc: 5.513 5.513 5.513
angles: 52.65 52.65 52.65
Sites, in units of the cell vectors:
Th 0.000 0.000 0.000
Pa 0.222 0.222 0.222
Pa 0.778 0.778 0.778
P 0.500 0.500 0.500



(3)
## LiAlTl2Bi (PBE)

Data for an optimized crystal structure of LiAlTl2Bi.

**Energy**: -2.31 eV per atom
**N(E_F)**: 2.8 states/eV/f.u.
**Calculated formation energy**: 2.7 eV per formula unit

abc: 6.315 6.315 5.421
angles: 90.00 90.00 90.00
Sites, in units of the cell vectors:
Li 0.000 0.000 0.000
Al 0.500 0.500 0.000
Tl 0.000 0.500 0.500
Tl 0.500 0.000 0.500
Bi 0.500 0.500 0.500



(4)
## HoScZnAg (PBE)

Data for an optimized crystal structure of HoScZnAg.

**Energy**: -4.06 eV per atom
**N(E_F)**: 4.4 states/eV/f.u.
**Calculated formation energy**: -1.2 eV per formula unit

abc: 4.949 4.949 4.949
angles: 60.00 60.00 60.00
Sites, in units of the cell vectors:
Ho 0.000 0.000 0.000
Sc 0.500 0.500 0.500
Zn 0.250 0.250 0.250
Ag 0.750 0.750 0.750



(5)
## BeZnSb (PBE)

Data for an optimized crystal structure of BeZnSb.

**Energy**: -2.71 eV per atom
**N(E_F)**: 1.2 states/eV/f.u.
**Formation energy (no corrections)**: 330 meV/atom
**Excess energy over the best structure of this formula in the dataset**: 122.0 meV/atom

abc: 3.934 3.934 4.179
angles: 90.00 90.00 120.00
Sites, in units of the cell vectors:
Be 0.000 0.000 0.000
Zn 0.667 0.333 0.740
Sb 0.333 0.667 0.245



(6)
## Pm2Ga3SnPt4 (PBE)

Data for an optimized crystal structure of Pm2Ga3SnPt4.

**Energy**: -5.61 eV per atom
**N(E_F)**: 5.5 states/eV/f.u.
**Calculated formation energy**: -9.3 eV per formula unit

abc: 4.294 4.294 10.828
angles: 90.00 90.00 90.00
Sites, in units of the cell vectors:
Pm 0.000 0.500 0.245
Pm 0.500 0.000 0.755
Ga 0.000 0.500 0.873
Ga 0.500 0.000 0.127
Ga 0.500 0.500 0.500
Sn 0.000 0.000 0.500
Pt 0.000 0.000 0.000
Pt 0.000 0.500 0.645
Pt 0.500 0.000 0.355
Pt 0.500 0.500 0.000



(7)
## HfTiMn2B (PBE)

Data for an optimized crystal structure of HfTiMn2B.

**Energy**: -7.64 eV per atom
**N(E_F)**: 5.0 states/eV/f.u.
**Calculated formation energy**: 4.7 eV per formula unit

abc: 4.271 4.271 4.289
angles: 90.00 90.00 90.00
Sites, in units of the cell vectors:
Hf 0.000 0.000 0.000
Ti 0.500 0.500 0.500
Mn 0.000 0.500 0.500
Mn 0.500 0.000 0.500
B 0.500 0.500 0.000



(8)
## Zn8Ga2Ag (PBE)

Data for an optimized crystal structure of Zn8Ga2Ag.

**Energy**: -1.71 eV per atom
**N(E_F)**: 3.5 states/eV/f.u.
**Excess energy over the best structure of this formula in the dataset**: 0.0 meV/atom
**Calculated formation energy**: 0.3 eV per formula unit

abc: 7.283 7.283 6.602
angles: 101.37 101.37 30.83
Sites, in units of the cell vectors:
Zn 0.044 0.044 0.215
Zn 0.136 0.136 0.668
Zn 0.318 0.318 0.595
Zn 0.412 0.412 0.059
Zn 0.588 0.588 0.941
Zn 0.682 0.682 0.405
Zn 0.864 0.864 0.332
Zn 0.956 0.956 0.785
Ga 0.226 0.226 0.138
Ga 0.774 0.774 0.862
Ag 0.500 0.500 0.500



(9)
## LaAsPb2S (PBE)

Data for an optimized crystal structure of LaAsPb2S.

**Energy**: -4.48 eV per atom
**N(E_F)**: 3.0 states/eV/f.u.
**Formation energy (no corrections)**: -252 meV/atom

abc: 5.421 5.421 5.483
angles: 90.00 90.00 90.00
Sites, in units of the cell vectors:
La 0.000 0.000 0.000
As 0.500 0.500 0.000
Pb 0.000 0.500 0.500
Pb 0.500 0.000 0.500
S 0.000 0.000 0.500



(10)
## Dy4Y9Pu (PBE)

Data for an optimized crystal structure of Dy4Y9Pu.

**Energy**: -6.32 eV per atom
**N(E_F)**: 26.1 states/eV/f.u.
**Calculated formation energy**: 2.4 eV per formula unit

abc: 9.763 9.763 11.011
angles: 90.00 90.00 120.00
Sites, in units of the cell vectors:
Dy 0.000 0.000 0.000
Dy 0.000 0.000 0.500
Dy 0.112 0.224 0.250
Dy 0.112 0.888 0.250
Dy 0.224 0.112 0.750
Dy 0.776 0.888 0.250
Dy 0.888 0.112 0.750
Dy 0.888 0.776 0.750
Y 0.074 0.537 0.250
Y 0.210 0.419 0.534
Y 0.210 0.419 0.966
Y 0.210 0.790 0.534
Y 0.210 0.790 0.966
Y 0.419 0.210 0.034
Y 0.419 0.210 0.466
Y 0.463 0.537 0.250
Y 0.463 0.926 0.250
Y 0.537 0.074 0.750
Y 0.537 0.463 0.750
Y 0.581 0.790 0.534
Y 0.581 0.790 0.966
Y 0.790 0.210 0.034
Y 0.790 0.210 0.466
Y 0.790 0.581 0.034
Y 0.790 0.581 0.466
Y 0.926 0.463 0.750
Pu 0.333 0.667 0.750
Pu 0.667 0.333 0.250



(11)
## Gd3AlH (PBE)

Data for an optimized crystal structure of Gd3AlH.

**Energy**: -10.19 eV per atom
**N(E_F)**: 4.0 states/eV/f.u.

abc: 4.819 4.819 4.819
angles: 90.00 90.00 90.00
Sites, in units of the cell vectors:
Gd 0.000 0.000 0.500
Gd 0.000 0.500 0.000
Gd 0.500 0.000 0.000
Al 0.500 0.500 0.500
H 0.000 0.000 0.000



(12)
## P2AuS2 (PBE)

Data for an optimized crystal structure of P2AuS2.

**Energy**: -4.27 eV per atom
**N(E_F)**: 1.7 states/eV/f.u.
**Formation energy (no corrections)**: 201 meV/atom
**Excess energy over the best structure of this formula in the dataset**: 221.3 meV/atom

abc: 7.827 7.827 3.215
angles: 90.00 90.00 90.00
Sites, in units of the cell vectors:
P 0.237 0.263 0.000
P 0.263 0.763 0.000
P 0.737 0.237 0.000
P 0.763 0.737 0.000
Au 0.000 0.000 0.000
Au 0.500 0.500 0.000
S 0.134 0.634 0.500
S 0.366 0.134 0.500
S 0.634 0.866 0.500
S 0.866 0.366 0.500



(13)
## HgPdSCl2 (PBE)

Data for an optimized crystal structure of HgPdSCl2.

**Energy**: -2.11 eV per atom
**N(E_F)**: 6.4 states/eV/f.u.
**Formation energy (no corrections)**: 552 meV/atom
**Excess energy over the best structure of this formula in the dataset**: 543.9 meV/atom

abc: 5.179 5.179 5.067
angles: 90.00 90.00 90.00
Sites, in units of the cell vectors:
Hg 0.000 0.000 0.000
Pd 0.500 0.500 0.500
S 0.000 0.000 0.500
Cl 0.000 0.500 0.000
Cl 0.500 0.000 0.000



(14)
## Zn3AgAu4 (PBE)

Data for an optimized crystal structure of Zn3AgAu4.

**Energy**: -2.64 eV per atom
**N(E_F)**: 2.2 states/eV/f.u.
**Excess energy over the best structure of this formula in the dataset**: 0.0 meV/atom
**Calculated formation energy**: -1.3 eV per formula unit

abc: 7.842 7.842 4.288
angles: 105.60 105.60 31.88
Sites, in units of the cell vectors:
Zn 0.000 0.000 0.000
Zn 0.252 0.252 0.253
Zn 0.748 0.748 0.747
Ag 0.500 0.500 0.500
Au 0.132 0.132 0.634
Au 0.368 0.368 0.868
Au 0.632 0.632 0.132
Au 0.868 0.868 0.366



(15)
## HfIn2Rh3 (PBE)

Data for an optimized crystal structure of HfIn2Rh3.

**Energy**: -6.91 eV per atom
**N(E_F)**: 3.4 states/eV/f.u.
**Calculated formation energy**: -4.0 eV per formula unit

abc: 7.383 7.383 6.271
angles: 90.00 90.00 143.18
Sites, in units of the cell vectors:
Hf 0.163 0.837 0.000
Hf 0.837 0.163 0.000
In 0.167 0.833 0.500
In 0.500 0.500 0.000
In 0.500 0.500 0.500
In 0.833 0.167 0.500
Rh 0.000 0.000 0.254
Rh 0.000 0.000 0.746
Rh 0.329 0.671 0.242
Rh 0.329 0.671 0.758
Rh 0.671 0.329 0.242
Rh 0.671 0.329 0.758



(16)
## CeAlZnCu (PBE)

Data for an optimized crystal structure of CeAlZnCu.

**Energy**: -4.05 eV per atom
**N(E_F)**: 4.0 states/eV/f.u.
**Calculated formation energy**: -1.2 eV per formula unit

abc: 4.711 4.711 4.711
angles: 60.00 60.00 60.00
Sites, in units of the cell vectors:
Ce 0.000 0.000 0.000
Al 0.500 0.500 0.500
Zn 0.250 0.250 0.250
Cu 0.750 0.750 0.750



(17)
## NbSb2TeI (PBE)

Data for an optimized crystal structure of NbSb2TeI.

**Energy**: -4.45 eV per atom
**N(E_F)**: 3.6 states/eV/f.u.
**Formation energy (no corrections)**: 154 meV/atom
**Excess energy over the best structure of this formula in the dataset**: 0.0 meV/atom

abc: 5.465 5.465 5.302
angles: 90.00 90.00 90.00
Sites, in units of the cell vectors:
Nb 0.000 0.000 0.000
Sb 0.000 0.500 0.000
Sb 0.500 0.000 0.000
Te 0.000 0.000 0.500
I 0.500 0.500 0.500



(18)
## Li4Ac2CdIn3 (PBE)

Data for an optimized crystal structure of Li4Ac2CdIn3.

**Energy**: -2.78 eV per atom
**N(E_F)**: 9.5 states/eV/f.u.
**Calculated formation energy**: -2.8 eV per formula unit

abc: 4.972 4.972 10.218
angles: 90.00 90.00 90.00
Sites, in units of the cell vectors:
Li 0.000 0.000 0.000
Li 0.000 0.500 0.383
Li 0.500 0.000 0.617
Li 0.500 0.500 0.000
Ac 0.000 0.500 0.755
Ac 0.500 0.000 0.245
Cd 0.500 0.500 0.500
In 0.000 0.000 0.500
In 0.000 0.500 0.123
In 0.500 0.000 0.877



(19)
## CdAg6Sb (PBE)

Data for an optimized crystal structure of CdAg6Sb.

**Energy**: -2.75 eV per atom
**N(E_F)**: 2.8 states/eV/f.u.
**Formation energy (no corrections)**: 19 meV/atom

abc: 6.034 6.034 4.213
angles: 90.00 90.00 90.00
Sites, in units of the cell vectors:
Cd 0.000 0.000 0.000
Ag 0.000 0.500 0.000
Ag 0.245 0.245 0.500
Ag 0.245 0.755 0.500
Ag 0.500 0.000 0.000
Ag 0.755 0.245 0.500
Ag 0.755 0.755 0.500
Sb 0.500 0.500 0.000



(20)
## Tb2Pm2In7 (PBE)

Data for an optimized crystal structure of Tb2Pm2In7.

**Energy**: -3.45 eV per atom
**N(E_F)**: 8.3 states/eV/f.u.
**Calculated formation energy**: 0.0 eV per formula unit

abc: 6.869 6.869 7.670
angles: 90.00 90.00 103.49
Sites, in units of the cell vectors:
Tb 0.185 0.185 0.000
Tb 0.815 0.815 0.000
Pm 0.303 0.697 0.500
Pm 0.697 0.303 0.500
In 0.000 0.000 0.500
In 0.000 0.500 0.199
In 0.000 0.500 0.801
In 0.500 0.000 0.199
In 0.500 0.000 0.801
In 0.500 0.500 0.195
In 0.500 0.500 0.805



(21)
## KZrTl2 (PBE)

Data for an optimized crystal structure of KZrTl2.

**Energy**: -3.19 eV per atom
**N(E_F)**: 4.1 states/eV/f.u.
**Excess energy over the best structure of this formula in the dataset**: 368.4 meV/atom
**Calculated formation energy**: 1.6 eV per formula unit

abc: 6.506 6.506 6.506
angles: 139.77 139.77 58.20
Sites, in units of the cell vectors:
K 0.000 0.000 0.000
Zr 0.750 0.250 0.500
Tl 0.250 0.750 0.500
Tl 0.500 0.500 0.000



(22)
## NaIn (PBE)

Data for an optimized crystal structure of NaIn.

**Energy**: -2.12 eV per atom
**N(E_F)**: 0.8 states/eV/f.u.
**Calculated formation energy**: -0.2 eV per formula unit

abc: 3.250 3.250 5.105
angles: 90.00 90.00 93.16
Sites, in units of the cell vectors:
Na 0.000 0.000 0.000
In 0.500 0.500 0.500



(23)
## Ho4Ag5Sb7 (PBE)

Data for an optimized crystal structure of Ho4Ag5Sb7.

**Energy**: -4.41 eV per atom
**N(E_F)**: 3.0 states/eV/f.u.
**Formation energy (no corrections)**: -567 meV/atom

abc: 11.412 11.412 11.412
angles: 149.37 149.37 43.87
Sites, in units of the cell vectors:
Ho 0.141 0.141 0.518
Ho 0.377 0.859 0.000
Ho 0.623 0.623 0.482
Ho 0.859 0.377 0.000
Ag 0.000 0.000 0.000
Ag 0.250 0.750 0.500
Ag 0.253 0.253 0.000
Ag 0.747 0.747 0.000
Ag 0.750 0.250 0.500
Sb 0.000 0.500 0.500
Sb 0.086 0.603 0.000
Sb 0.397 0.397 0.483
Sb 0.500 0.000 0.500
Sb 0.500 0.500 0.000
Sb 0.603 0.086 0.000
Sb 0.914 0.914 0.517



(24)
## PmPuSc2O8 (PBE)

Data for an optimized crystal structure of PmPuSc2O8.

**Energy**: -8.95 eV per atom
**Formation energy (no corrections)**: -2998 meV/atom

abc: 4.943 4.943 6.899
angles: 90.00 90.00 91.26
Sites, in units of the cell vectors:
Pm 0.000 0.000 0.000
Pu 0.000 0.000 0.500
Sc 0.500 0.500 0.230
Sc 0.500 0.500 0.770
O 0.198 0.198 0.279
O 0.198 0.198 0.721
O 0.279 0.721 0.500
O 0.322 0.678 0.000
O 0.678 0.322 0.000
O 0.721 0.279 0.500
O 0.802 0.802 0.279
O 0.802 0.802 0.721